No. 1
Crystalline SbIrPb2 at its relaxed geometry. Source: the Alexandria database, functional GGA-PBE.

raw formation energy	339	meV per atom

a = 3.4357 Å, b = 3.4357 Å, c = 29.5496 Å
α = 90.00°, β = 90.00°, γ = 120.00°
With the nearest neighbours (Å) after each atom.
Space group R-3m (No. 166, hexagonal axes)
Unique sites:
Sb 0.0000 0.0000 0.0000 [3 per cell]  6 Sb 3.44, 6 Pb 3.50
Ir 0.0000 0.0000 0.5000 [3 per cell]  6 Pb 2.85
Pb 0.0000 0.0000 0.2359 [6 per cell]  3 Ir 2.85

=====

No. 2
Crystalline PmNd2Tl2 at its relaxed geometry. Source: the Alexandria database, functional GGA-PBE.

DFT formation energy	-0.06	eV per atom

a = 5.2817 Å, b = 5.2817 Å, c = 13.1845 Å
α = 90.00°, β = 90.00°, γ = 120.00°
With the nearest neighbours (Å) after each atom.
Space group P6_3/mmc (No. 194)
Unique sites:
Pm 0.0000 0.0000 0.2500 [2 per cell]  5 Nd 3.05-3.30
Nd 0.0000 0.0000 0.0000 [2 per cell]  2 Pm 3.30, 6 Tl 3.49
Nd 0.3333 0.6667 0.2500 [2 per cell]  3 Pm 3.05
Tl 0.3333 0.6667 0.6283 [4 per cell]  1 Tl 3.21, 3 Pm 3.45, 6 Nd 3.45-3.49

=====

No. 3
Crystalline Er3UCo8 at its relaxed geometry. Source: the Alexandria database, functional GGA-PBE.

DFT formation energy	-0.20	eV per atom

a = 5.0148 Å, b = 5.0148 Å, c = 24.5234 Å
α = 90.00°, β = 90.00°, γ = 120.00°
With the nearest neighbours (Å) after each atom.
Space group R3m (No. 160, hexagonal axes)
Unique sites:
Er 0.0000 0.0000 0.0000 [3 per cell]  12 Co 2.94-2.96, 4 Er 3.06
Er 0.0000 0.0000 0.1248 [3 per cell]  12 Co 2.92-2.94, 1 Er 3.06, 3 U 3.08
Er 0.0000 0.0000 0.6261 [3 per cell]  12 Co 2.94-2.96, 3 Er 3.06, 1 U 3.08
U 0.0000 0.0000 0.5006 [3 per cell]  12 Co 2.91-2.94, 4 Er 3.08
Co 0.0000 0.0000 0.3133 [3 per cell]  6 Co 2.51-2.53
Co 0.0000 0.0000 0.8129 [3 per cell]  6 Co 2.49
Co 0.0021 0.5010 0.0640 [9 per cell]  6 Co 2.49-2.52
Co 0.1671 0.3343 0.8952 [9 per cell]  6 Co 2.49-2.53

=====

No. 4
Crystalline La2PdCl at its relaxed geometry. Source: the Alexandria database, functional GGA-PBE.

raw formation energy	-1049	meV per atom

a = 3.4885 Å, b = 3.4885 Å, c = 8.2430 Å
α = 90.00°, β = 90.00°, γ = 90.00°
With the nearest neighbours (Å) after each atom.
Space group P4/mmm (No. 123)
Unique sites:
La 0.0000 0.0000 0.2336 [2 per cell]  4 Pd 3.13, 4 Cl 3.30, 4 La 3.49
Pd 0.5000 0.5000 0.0000 [1 per cell]  8 La 3.13, 4 Pd 3.49
Cl 0.5000 0.5000 0.5000 [1 per cell]  8 La 3.30, 4 Cl 3.49

=====

No. 5
Crystalline PtSe2NCl at its relaxed geometry. Source: the Alexandria database, functional GGA-PBE.

raw formation energy	766	meV per atom

a = 5.3353 Å, b = 5.3353 Å, c = 3.6469 Å
α = 90.00°, β = 90.00°, γ = 90.00°
With the nearest neighbours (Å) after each atom.
Space group P4/mmm (No. 123)
Unique sites:
Pt 0.0000 0.0000 0.0000 [1 per cell]  2 N 1.82
Se 0.0000 0.5000 0.0000 [2 per cell]  2 Pt 2.67
N 0.0000 0.0000 0.5000 [1 per cell]  2 Pt 1.82
Cl 0.5000 0.5000 0.5000 [1 per cell]  8 Se 3.23

=====

No. 6
Crystalline BeAlMo at its relaxed geometry. Source: the Alexandria database, functional GGA-PBE.

DFT formation energy	-0.07	eV per atom

a = 4.0834 Å, b = 4.0834 Å, c = 2.7419 Å
α = 90.00°, β = 90.00°, γ = 120.00°
With the nearest neighbours (Å) after each atom.
Space group P3m1 (No. 156)
Unique sites:
Be 0.0000 0.0000 0.0000 [1 per cell]  3 Al 2.36
Al 0.6667 0.3333 0.0036 [1 per cell]  3 Be 2.36
Mo 0.3333 0.6667 0.5027 [1 per cell]  6 Be 2.72-2.73, 6 Al 2.73, 2 Mo 2.74

=====

No. 7
Crystalline Pr2NdTm at its relaxed geometry. Source: the Alexandria database, functional GGA-PBE.

DFT formation energy	0.10	eV per atom

a = 4.2464 Å, b = 4.2464 Å, c = 7.6504 Å
α = 90.00°, β = 90.00°, γ = 90.00°
With the nearest neighbours (Å) after each atom.
Space group P4/mmm (No. 123)
Unique sites:
Pr 0.0000 0.0000 0.2377 [2 per cell]  4 Tm 3.51, 4 Nd 3.61, 1 Pr 3.64
Nd 0.5000 0.5000 0.5000 [1 per cell]  8 Pr 3.61, 2 Tm 3.83
Tm 0.5000 0.5000 0.0000 [1 per cell]  8 Pr 3.51, 2 Nd 3.83

=====

No. 8
Crystalline NaTaO3 at its relaxed geometry. Source: the Alexandria database, functional GGA-PBE.

raw formation energy	-2270	meV per atom

a = 6.1344 Å, b = 14.2380 Å, c = 5.9266 Å
α = 90.00°, β = 90.00°, γ = 90.00°
With the nearest neighbours (Å) after each atom.
Space group Cmcm (No. 63)
Unique sites:
Na 0.0000 0.2007 0.2500 [4 per cell]  2 O 2.38
Ta 0.0000 0.4142 0.2500 [4 per cell]  4 O 1.81-1.92
O 0.0000 0.5000 0.0000 [4 per cell]  2 Ta 1.92
O 0.2310 0.3349 0.2500 [8 per cell]  1 Ta 1.81

=====

No. 9
Crystalline Sc5Ga2Os at its relaxed geometry. Source: the Alexandria database, functional GGA-PBE.

DFT formation energy	-0.43	eV per atom

a = 6.8949 Å, b = 6.8949 Å, c = 13.6409 Å
α = 90.00°, β = 90.00°, γ = 90.00°
With the nearest neighbours (Å) after each atom.
Space group I4/mcm (No. 140)
Unique sites:
Sc 0.0000 0.0000 0.0000 [4 per cell]  4 Ga 2.73
Sc 0.1764 0.3236 0.1517 [16 per cell]  3 Ga 2.83-2.95, 2 Os 2.87, 1 Sc 3.04
Ga 0.1249 0.3751 0.5000 [8 per cell]  1 Ga 2.44, 2 Sc 2.73
Os 0.0000 0.0000 0.2500 [4 per cell]  8 Sc 2.87

=====

Table of energy (eV per atom), in record order: -4.76 -3.87 -7.02 -5.27 -3.87 -6.17 -4.60 -7.88 -6.55
Table of D(E_F) (states/eV/atom), in record order: 0.86 0.54 1.35 1.01 1.10 0.66 1.96 0.00 0.96